PuIn4Pb: relaxed, PBE.

Structure (CIF):
```
data_PuIn4Pb
_chemical_formula_sum 'Pu1 In4 Pb1'
_cell_length_a 6.158
_cell_length_b 6.158
_cell_length_c 6.158
_cell_angle_alpha 60.00
_cell_angle_beta 60.00
_cell_angle_gamma 60.00
_symmetry_space_group_name_H-M 'P 1'
_symmetry_Int_Tables_number 1
_symmetry_space_group_name_Hall 'P 1'
loop_
_atom_site_label
_atom_site_type_symbol
_atom_site_fract_x
_atom_site_fract_y
_atom_site_fract_z
Pu1 Pu 0.000 0.000 0.000
In1 In 0.375 0.375 0.375
In2 In 0.375 0.375 0.875
In3 In 0.375 0.875 0.375
In4 In 0.875 0.375 0.375
Pb1 Pb 0.750 0.750 0.750
```

Output
energy relative to the elements	0.03	eV per atom
spin magnetization	6.31	μB per formula unit
energy above the most stable polymorph in this dataset	0.66	eV per formula unit
uncorrected energy	-4.80	eV/atom

***

Pu2In2Pb: relaxed, PBE.

Structure (CIF):
```
data_Pu2In2Pb
_chemical_formula_sum 'Pu4 In4 Pb2'
_cell_length_a 8.022
_cell_length_b 8.022
_cell_length_c 4.408
_cell_angle_alpha 90.00
_cell_angle_beta 90.00
_cell_angle_gamma 90.00
_symmetry_space_group_name_H-M 'P 1'
_symmetry_Int_Tables_number 1
_symmetry_space_group_name_Hall 'P 1'
loop_
_atom_site_label
_atom_site_type_symbol
_atom_site_fract_x
_atom_site_fract_y
_atom_site_fract_z
Pu1 Pu 0.122 0.378 0.000
Pu2 Pu 0.378 0.878 0.000
Pu3 Pu 0.622 0.122 0.000
Pu4 Pu 0.878 0.622 0.000
In1 In 0.176 0.676 0.500
In2 In 0.324 0.176 0.500
In3 In 0.676 0.824 0.500
In4 In 0.824 0.324 0.500
Pb1 Pb 0.000 0.000 0.000
Pb2 Pb 0.500 0.500 0.000
```

Output
energy relative to the elements	0.07	eV per atom
spin magnetization	11.26	μB per formula unit
uncorrected energy	-7.50	eV/atom

***

> Which formula does entry 2 have?

Pu2In2Pb

***

> What is the formula in the first record?

PuIn4Pb